No. 1
The following is a DFT calculation (PBE) of an optimized crystal structure of Hg2SO4.

Cell lengths 4.736, 4.736, 11.166 Å; angles 90.00, 90.00, 90.00 degrees
Space group I-42m (No. 121)
Symmetry-distinct sites (fractional):
1 Hg 0.000 0.500 0.250 (multiplicity 4)
2 S 0.000 0.000 0.000 (multiplicity 2)
3 O 0.184 0.184 0.076 (multiplicity 8)

Values from the calculation:
Calculated density = 6.6 g cm⁻³


No. 2
The following is a DFT calculation (PBE) of an optimized crystal structure of Hg2S2O7.

Cell lengths 6.525, 12.587, 4.542 Å; angles 90.00, 102.72, 90.00 degrees
Space group P2_1/c (No. 14)
Symmetry-distinct sites (fractional):
1 Hg 0.174 0.181 0.276 (multiplicity 4)
2 S 0.337 0.577 0.621 (multiplicity 4)
3 O 0.211 0.625 0.350 (multiplicity 4)
4 O 0.218 0.505 0.776 (multiplicity 4)
5 O 0.470 0.652 0.822 (multiplicity 4)
6 O 0.500 0.000 0.000 (multiplicity 2)

Values from the calculation:
E above lowest polymorph = 60 meV per atom
Calculated density = 5.3 g cm⁻³


No. 3
The following is a DFT calculation (PBE) of an optimized crystal structure of HgS3O.

Cell lengths 4.372, 4.372, 4.372 Å; angles 90.00, 90.00, 90.00 degrees
Space group Pm-3m (No. 221)
Symmetry-distinct sites (fractional):
1 Hg 0.000 0.000 0.000 (multiplicity 1)
2 S 0.000 0.500 0.500 (multiplicity 3)
3 O 0.500 0.500 0.500 (multiplicity 1)

Values from the calculation:
E above lowest polymorph = 0 meV per atom
Calculated density = 6.2 g cm⁻³


No. 4
The following is a DFT calculation (PBE) of an optimized crystal structure of HgSO2.

Cell lengths 5.886, 5.886, 5.886 Å; angles 90.00, 90.00, 90.00 degrees
Space group Fm-3m (No. 225)
Symmetry-distinct sites (fractional):
1 Hg 0.000 0.000 0.000 (multiplicity 4)
2 S 0.000 0.000 0.500 (multiplicity 4)
3 O 0.250 0.250 0.250 (multiplicity 8)

Values from the calculation:
E above lowest polymorph = 969 meV per atom
Calculated density = 8.6 g cm⁻³


No. 5
The following is a DFT calculation (PBE) of an optimized crystal structure of Hg2SO.

Cell lengths 6.525, 6.525, 6.525 Å; angles 90.00, 90.00, 90.00 degrees
Space group Fm-3m (No. 225)
Symmetry-distinct sites (fractional):
1 Hg 0.250 0.250 0.250 (multiplicity 8)
2 S 0.000 0.000 0.000 (multiplicity 4)
3 O 0.000 0.000 0.500 (multiplicity 4)

Values from the calculation:
E above lowest polymorph = 575 meV per atom
Calculated density = 10.7 g cm⁻³


No. 6
The following is a DFT calculation (PBE) of an optimized crystal structure of HgSO2.

Cell lengths 4.496, 4.496, 12.200 Å; angles 90.00, 90.00, 90.00 degrees
Space group I-42d (No. 122)
Symmetry-distinct sites (fractional):
1 Hg 0.000 0.000 0.000 (multiplicity 4)
2 S 0.000 0.000 0.500 (multiplicity 4)
3 O 0.184 0.250 0.625 (multiplicity 8)

Values from the calculation:
E above lowest polymorph = 376 meV per atom
Calculated density = 7.1 g cm⁻³


No. 7
The following is a DFT calculation (PBE) of an optimized crystal structure of HgS2O.

Cell lengths 6.321, 6.321, 6.321 Å; angles 90.00, 90.00, 90.00 degrees
Space group Fm-3m (No. 225)
Symmetry-distinct sites (fractional):
1 Hg 0.000 0.000 0.000 (multiplicity 4)
2 S 0.250 0.250 0.250 (multiplicity 8)
3 O 0.000 0.000 0.500 (multiplicity 4)

Values from the calculation:
E above lowest polymorph = 645 meV per atom
Calculated density = 7.4 g cm⁻³


No. 8
The following is a DFT calculation (PBE) of an optimized crystal structure of HgSO4.

Cell lengths 5.421, 5.421, 7.604 Å; angles 90.00, 90.00, 90.00 degrees
Space group I-4 (No. 82)
Symmetry-distinct sites (fractional):
1 Hg 0.000 0.000 0.000 (multiplicity 2)
2 S 0.000 0.500 0.250 (multiplicity 2)
3 O 0.159 0.335 0.140 (multiplicity 8)

Values from the calculation:
Calculated density = 4.4 g cm⁻³


No. 9
The following is a DFT calculation (PBE) of an optimized crystal structure of HgS4O.

Cell lengths 4.038, 28.595, 6.055 Å; angles 90.00, 99.77, 90.00 degrees
Space group C2/c (No. 15)
Symmetry-distinct sites (fractional):
1 Hg 0.000 0.125 0.250 (multiplicity 4)
2 S 0.127 0.473 0.905 (multiplicity 8)
3 S 0.162 0.315 0.148 (multiplicity 8)
4 O 0.000 0.222 0.750 (multiplicity 4)

Values from the calculation:
Calculated density = 3.3 g cm⁻³


No. 10
The following is a DFT calculation (PBE) of an optimized crystal structure of ScHgSO6.

Cell lengths 5.154, 8.938, 4.759 Å; angles 90.00, 90.25, 90.00 degrees
Space group C2 (No. 5)
Symmetry-distinct sites (fractional):
1 Sc 0.000 0.000 0.000 (multiplicity 2)
2 Hg 0.000 0.333 0.500 (multiplicity 2)
3 S 0.000 0.667 0.000 (multiplicity 2)
4 O 0.123 0.804 0.200 (multiplicity 4)
5 O 0.146 0.537 0.201 (multiplicity 4)
6 O 0.233 0.159 0.200 (multiplicity 4)

Values from the calculation:
Calculated density = 5.7 g cm⁻³


No. 11
The following is a DFT calculation (PBE) of an optimized crystal structure of Sc2HgSO.

Cell lengths 4.989, 4.989, 3.798 Å; angles 90.00, 90.00, 90.00 degrees
Space group P4/mmm (No. 123)
Symmetry-distinct sites (fractional):
1 Sc 0.000 0.500 0.000 (multiplicity 2)
2 Hg 0.000 0.000 0.500 (multiplicity 1)
3 S 0.500 0.500 0.000 (multiplicity 1)
4 O 0.500 0.500 0.500 (multiplicity 1)

Values from the calculation:
Calculated density = 5.9 g cm⁻³


No. 12
The following is a DFT calculation (PBE) of an optimized crystal structure of SiHgSO6.

Cell lengths 4.649, 8.051, 5.137 Å; angles 90.00, 90.13, 90.00 degrees
Space group C2 (No. 5)
Symmetry-distinct sites (fractional):
1 Si 0.000 0.000 0.000 (multiplicity 2)
2 Hg 0.000 0.333 0.500 (multiplicity 2)
3 S 0.000 0.667 0.000 (multiplicity 2)
4 O 0.117 0.826 0.813 (multiplicity 4)
5 O 0.179 0.528 0.813 (multiplicity 4)
6 O 0.202 0.146 0.813 (multiplicity 4)

Values from the calculation:
Calculated density = 6.2 g cm⁻³


These records have DFT total energy values of -4.24, -4.83, -2.69, -2.75, -1.99, -3.34, -2.36, -5.03, -3.64, -5.71, -5.02, -5.64 eV/atom, in the order they appear.
These records have formation energy from raw total energies values of -0.7314, -0.8685, 0.8343, 0.8411, 0.4315, 0.2484, 1.0215, -0.9901, -0.0096, -1.2122, -0.6082, -1.2411 eV per atom, in the order they appear.